# TiRe3Sn (PBE, optimized geometry)
# Calculated total energy   -7.340 eV/atom
# E above lowest polymorph   0.7381 eV/atom
# Calculated volume   21.905 A^3/atom
# ΔH_f (0 K)   2.508 eV per atom
# Total magnetization   1.6 μB per cell
data_TiRe3Sn
_space_group_name_H-M_alt 'P m -3 m'
_space_group_IT_number 221
_space_group_name_Hall '-P 4 2 3'
_cell_length_a 4.7845
_cell_length_b 4.7845
_cell_length_c 4.7845
_cell_angle_alpha 90.00
_cell_angle_beta 90.00
_cell_angle_gamma 90.00
loop_
_atom_site_label
_atom_site_type_symbol
_atom_site_fract_x
_atom_site_fract_y
_atom_site_fract_z
_atom_site_occupancy
Ti1 Ti 0.0000 0.0000 0.0000 1
Re1 Re 0.0000 0.5000 0.5000 1
Sn1 Sn 0.5000 0.5000 0.5000 1